First-principles (PBE) data for a relaxed structure of Dy3Y3Tm4, as listed in the Alexandria database.

As for the magnetization: 0.0 μB/f.u. The formation energy comes out at 90 meV/atom.

It has space group Amm2 (No. 38), with a = 3.6758 Å, b = 13.1279 Å, c = 13.1189 Å, α = 90.00°, β = 90.00° and γ = 90.00°. Symmetry generates all atoms from Dy at (0.0000, 0.0000, 0.0000), Dy at (0.5000, 0.2503, 0.0774), Y at (0.0000, 0.0000, 0.6544), Y at (0.0000, 0.1730, 0.3270), Tm at (0.5000, 0.0000, 0.2014), Tm at (0.5000, 0.0000, 0.4521) and Tm at (0.5000, 0.1249, 0.8280).